No. 1
Entry from the Alexandria database: an optimized crystal structure of FeTeC2 (PBE).

Volume: 219.64 Å³ per cell
Raw formation energy: 1.211 eV per atom
Crystal system: tetragonal
M_tot: 0.0 μB/cell

a b c (Å): 4.937 4.937 9.010
angles (deg): 90.00 90.00 90.00
Space group I-42d (No. 122)
Asymmetric unit:
Fe (0.000, 0.000, 0.000)
Te (0.000, 0.000, 0.500)
C (0.162, 0.250, 0.125)

No. 2
Entry from the Alexandria database: an optimized crystal structure of BaSrAuCl (PBE).

Volume: 516.54 Å³ per cell
Raw formation energy: -1.076 eV per atom
Crystal system: cubic
M_tot: 0.0 μB/cell

a b c (Å): 8.024 8.024 8.024
angles (deg): 90.00 90.00 90.00
Space group F-43m (No. 216)
Asymmetric unit:
Ba (0.000, 0.000, 0.000)
Sr (0.000, 0.000, 0.500)
Au (0.250, 0.250, 0.250)
Cl (0.250, 0.250, 0.750)

Q: What is the formula in the second record?
A: BaSrAuCl

Q: Which value of M_tot does entry 2 give?
A: 0.0 μB/cell

Q: Which of these has the highest raw formation energy?
A: FeTeC2